Record 1
{
  "formula": "Ta5ZnMo4",
  "functional": "PBE-GGA",
  "state": "optimized geometry",
  "e_form_ev_per_fu": -1.476,
  "space_group": "P4/mmm, No. 123",
  "lattice_angstrom": [[3.2603, 0.0000, 0.0000], [0.0000, 3.2603, 0.0000], [0.0000, 0.0000, 15.7807]],
  "species": ["Ta", "Ta", "Ta", "Ta", "Ta", "Zn", "Mo", "Mo", "Mo", "Mo"],
  "frac_coords": [[0.5000, 0.5000, 0.0980], [0.5000, 0.5000, 0.2964], [0.5000, 0.5000, 0.5000], [0.5000, 0.5000, 0.7036], [0.5000, 0.5000, 0.9020], [0.0000, 0.0000, 0.0000], [0.0000, 0.0000, 0.1936], [0.0000, 0.0000, 0.3985], [0.0000, 0.0000, 0.6015], [0.0000, 0.0000, 0.8064]]
}



Record 2
{
  "formula": "ZrTaZnMo",
  "functional": "PBE-GGA",
  "state": "optimized geometry",
  "e_form_ev_per_fu": -0.080,
  "space_group": "F-43m, No. 216",
  "lattice_angstrom": [[-3.3390, 3.1009, 0.9060], [-4.0018, -0.1403, -2.3561], [-3.9038, -1.3453, 2.1298]],
  "species": ["Mo", "Zn", "Zr", "Ta"],
  "frac_coords": [[0.0000, 0.0000, 0.0000], [0.5000, 0.5000, 0.5000], [0.7500, 0.7500, 0.7500], [0.2500, 0.2500, 0.2500]]
}



Record 3
{
  "formula": "ZrTaZn2Mo",
  "functional": "PBE-GGA",
  "state": "optimized geometry",
  "e_form_ev_per_fu": 6.462,
  "space_group": "P4/mmm, No. 123",
  "lattice_angstrom": [[4.7721, 0.0000, 0.0000], [0.0000, 4.7834, 0.0000], [0.0000, 0.0000, 4.7721]],
  "species": ["Mo", "Zn", "Zn", "Zr", "Ta"],
  "frac_coords": [[0.0000, 0.0000, 0.0000], [0.0000, 0.0000, 0.5000], [0.5000, 0.0000, 0.0000], [0.0000, 0.5000, 0.0000], [0.5000, 0.5000, 0.5000]]
}



Record 4
{
  "formula": "ZrTaMo4",
  "functional": "PBE-GGA",
  "state": "optimized geometry",
  "e_form_ev_per_fu": -0.380,
  "space_group": "F-43m, No. 216",
  "lattice_angstrom": [[4.6555, 1.4551, 2.1347], [0.1689, 1.9190, 4.9636], [2.1617, -2.9033, 3.9046]],
  "species": ["Zr", "Ta", "Mo", "Mo", "Mo", "Mo"],
  "frac_coords": [[0.0000, 0.0000, 0.0000], [0.7500, 0.7500, 0.7500], [0.8743, 0.3752, 0.3752], [0.3752, 0.3752, 0.8743], [0.3752, 0.8743, 0.3752], [0.3752, 0.3752, 0.3752]]
}